The following is a PBE calculation of Na6SiH12 after structural relaxation, from Alexandria via LeMat-Bulk.

DFT total energy = -2.7155 eV/atom

Unit cell a=9.2667 b=9.2667 c=9.2331 alpha=90.00 beta=90.00 gamma=120.00
Space group R-3 (No. 148, hexagonal axes)
Inequivalent atoms, fractional coordinates:
Na (0.0703, 0.8149, 0.1574) x18
Si (0.0000, 0.0000, 0.5000) x3
H (0.0548, 0.8923, 0.4006) x18
H (0.0734, 0.8155, 0.9164) x18

---

The following is a PBE calculation of Na2SiH6 after structural relaxation, from Alexandria via LeMat-Bulk.

Energy above the lowest structure with this stoichiometry = 1.7 meV/atom

Unit cell a=8.441 b=4.880 c=4.054 alpha=90.00 beta=90.38 gamma=90.00
Space group C2/m (No. 12)
Inequivalent atoms, fractional coordinates:
Na (0.167, 0.000, 0.273) x4
Si (0.000, 0.500, 0.000) x2
H (0.078, 0.265, 0.775) x8
H (0.157, 0.500, 0.228) x4

---

The following is a PBE calculation of Na2Si2H7 after structural relaxation, from Alexandria via LeMat-Bulk.

DFT total energy = -3.2598 eV/atom

Unit cell a=8.656 b=7.265 c=4.122 alpha=90.00 beta=92.28 gamma=90.00
Space group C2/m (No. 12)
Inequivalent atoms, fractional coordinates:
Na (0.000, 0.247, 0.000) x4
Si (0.214, 0.500, 0.454) x4
H (0.000, 0.500, 0.500) x2
H (0.153, 0.000, 0.281) x4
H (0.225, 0.161, 0.747) x8

---

The following is a PBE calculation of Na2SiH after structural relaxation, from Alexandria via LeMat-Bulk.

Energy above the lowest structure with this stoichiometry = 304.1 meV/atom

Unit cell a=6.919 b=6.919 c=6.919 alpha=90.00 beta=90.00 gamma=90.00
Space group Fm-3m (No. 225)
Inequivalent atoms, fractional coordinates:
Na (0.250, 0.250, 0.250) x8
Si (0.000, 0.000, 0.000) x4
H (0.000, 0.000, 0.500) x4

---

The following is a PBE calculation of NaSiH3 after structural relaxation, from Alexandria via LeMat-Bulk.

Energy above the lowest structure with this stoichiometry = 227.2 meV/atom

Unit cell a=3.751 b=3.751 c=3.751 alpha=90.00 beta=90.00 gamma=90.00
Space group Pm-3m (No. 221)
Inequivalent atoms, fractional coordinates:
Na (0.000, 0.000, 0.000) x1
Si (0.500, 0.500, 0.500) x1
H (0.000, 0.500, 0.500) x3

---

The following is a PBE calculation of NaSi2H after structural relaxation, from Alexandria via LeMat-Bulk.

Energy above the lowest structure with this stoichiometry = 548.6 meV/atom

Unit cell a=6.280 b=6.280 c=6.280 alpha=90.00 beta=90.00 gamma=90.00
Space group Fm-3m (No. 225)
Inequivalent atoms, fractional coordinates:
Na (0.000, 0.000, 0.000) x4
Si (0.250, 0.250, 0.250) x8
H (0.000, 0.000, 0.500) x4

---

The following is a PBE calculation of NaSi3H after structural relaxation, from Alexandria via LeMat-Bulk.

Energy above the lowest structure with this stoichiometry = 0.0 meV/atom

Unit cell a=4.135 b=4.135 c=4.135 alpha=90.00 beta=90.00 gamma=90.00
Space group Pm-3m (No. 221)
Inequivalent atoms, fractional coordinates:
Na (0.000, 0.000, 0.000) x1
Si (0.000, 0.500, 0.500) x3
H (0.500, 0.500, 0.500) x1

---

The following is a PBE calculation of Na3SiH after structural relaxation, from Alexandria via LeMat-Bulk.

DFT total energy = -2.3932 eV/atom

Unit cell a=4.630 b=4.630 c=4.630 alpha=90.00 beta=90.00 gamma=90.00
Space group Pm-3m (No. 221)
Inequivalent atoms, fractional coordinates:
Na (0.000, 0.000, 0.500) x3
Si (0.500, 0.500, 0.500) x1
H (0.000, 0.000, 0.000) x1

---

The following is a PBE calculation of NaSi2H8 after structural relaxation, from Alexandria via LeMat-Bulk.

DFT total energy = -3.4526 eV/atom

Unit cell a=8.645 b=4.677 c=6.873 alpha=90.00 beta=124.16 gamma=90.00
Space group C2/m (No. 12)
Inequivalent atoms, fractional coordinates:
Na (0.000, 0.000, 0.000) x2
Si (0.192, 0.000, 0.658) x4
H (0.094, 0.500, 0.192) x4
H (0.159, 0.264, 0.759) x8
H (0.175, 0.000, 0.421) x4

---

The following is a PBE calculation of Na2SiH6 after structural relaxation, from Alexandria via LeMat-Bulk.

Energy above the lowest structure with this stoichiometry = 8.8 meV/atom

Unit cell a=4.596 b=4.596 c=9.247 alpha=90.00 beta=90.00 gamma=90.00
Space group P4_2/mnm (No. 136)
Inequivalent atoms, fractional coordinates:
Na (0.000, 0.000, 0.166) x4
Si (0.000, 0.000, 0.500) x2
H (0.173, 0.173, 0.375) x8
H (0.245, 0.755, 0.500) x4

---

The following is a PBE calculation of Na2SiH4 after structural relaxation, from Alexandria via LeMat-Bulk.

DFT total energy = -3.1036 eV/atom

Unit cell a=6.542 b=8.466 c=6.918 alpha=90.00 beta=90.00 gamma=90.00
Space group Fmm2 (No. 42)
Inequivalent atoms, fractional coordinates:
Na (0.250, 0.250, 0.000) x8
Si (0.000, 0.000, 0.278) x4
H (0.000, 0.219, 0.243) x8
H (0.180, 0.000, 0.137) x8

---

The following is a PBE calculation of NaSiH3 after structural relaxation, from Alexandria via LeMat-Bulk.

Energy above the lowest structure with this stoichiometry = 0.0 meV/atom

Unit cell a=7.676 b=10.247 c=6.595 alpha=90.00 beta=93.87 gamma=90.00
Space group C2/c (No. 15)
Inequivalent atoms, fractional coordinates:
Na (0.000, 0.107, 0.250) x4
Na (0.000, 0.335, 0.750) x4
Si (0.210, 0.374, 0.357) x8
H (0.095, 0.101, 0.579) x8
H (0.200, 0.497, 0.733) x8
H (0.247, 0.208, 0.830) x8